Below is crystalline NaPrHgSe3 at its relaxed geometry, with properties calculated at the PBE level.

extended XYZ file:
```
24
Lattice="13.997 0.000 0.000 0.000 4.295 0.000 0.000 0.000 11.678" Properties=species:S:1:pos:R:3 pbc="T T T"
Na 3.369 1.074 1.013
Na 3.630 3.221 6.852
Na 10.367 1.074 4.826
Na 10.628 3.221 10.665
Pr 0.309 1.074 4.005
Pr 6.690 3.221 9.844
Pr 7.307 1.074 1.834
Pr 13.688 3.221 7.673
Hg 0.095 3.221 1.208
Hg 6.903 1.074 7.048
Hg 7.094 3.221 4.631
Hg 13.901 1.074 10.470
Se 1.507 1.074 6.680
Se 1.549 3.221 10.304
Se 2.124 3.221 2.917
Se 4.875 1.074 8.757
Se 5.449 1.074 4.465
Se 5.491 3.221 0.841
Se 8.505 1.074 10.837
Se 8.547 3.221 7.214
Se 9.122 3.221 2.922
Se 11.873 1.074 8.761
Se 12.448 1.074 1.375
Se 12.490 3.221 4.998
```

Output
The calculation puts the magnetization at 0.000 μB per atom. The electronic total energy comes out at -3.91 eV/atom. As for the polymorph energy (0 for the lowest one): 11 meV per atom. For the mass density, the calculation gives 5.69 g cm⁻³.

=====

Below is crystalline Y4InCoC2 at its relaxed geometry, with properties calculated at the PBE level.

extended XYZ file:
```
8
Lattice="3.593 0.000 0.000 -1.796 3.112 0.000 0.000 0.000 15.038" Properties=species:S:1:pos:R:3 pbc="T T T"
Y 0.000 0.000 1.999
Y 0.000 0.000 13.039
Y 0.000 2.074 4.727
Y 0.000 2.074 10.312
In 0.000 0.000 7.519
Co 0.000 2.074 0.000
C 1.796 1.037 3.448
C 1.796 1.037 11.590
```

Output
The calculation puts the magnetization at 0.031 μB per atom. The electronic total energy comes out at -6.95 eV/atom. For the mass density, the calculation gives 5.47 g cm⁻³.

=====

Below is crystalline BeCuSiW at its relaxed geometry, with properties calculated at the PBE level.

extended XYZ file:
```
4
Lattice="0.000 2.914 2.914 2.914 0.000 2.914 2.914 2.914 0.000" Properties=species:S:1:pos:R:3 pbc="T T T"
Be 0.000 0.000 0.000
Cu 2.914 2.914 2.914
Si 1.457 1.457 1.457
W 4.371 4.371 4.371
```

Output
The calculation puts the magnetization at 0.186 μB per atom. The electronic total energy comes out at -5.85 eV/atom. As for the polymorph energy (0 for the lowest one): 377 meV per atom. For the mass density, the calculation gives 9.55 g cm⁻³.

=====

Below is crystalline PrAlGa at its relaxed geometry, with properties calculated at the PBE level.

extended XYZ file:
```
3
Lattice="0.000 3.334 3.334 3.334 0.000 3.334 3.334 3.334 0.000" Properties=species:S:1:pos:R:3 pbc="T T T"
Pr 0.000 0.000 0.000
Al 3.334 3.334 3.334
Ga 5.001 5.001 5.001
```

Output
The calculation puts the magnetization at 0.002 μB per atom. The electronic total energy comes out at -4.19 eV/atom. For the mass density, the calculation gives 5.32 g cm⁻³.

=====

Below is crystalline MgZrPO at its relaxed geometry, with properties calculated at the PBE level.

extended XYZ file:
```
8
Lattice="4.265 0.000 0.000 0.000 4.265 0.000 0.000 0.000 8.778" Properties=species:S:1:pos:R:3 pbc="T T T"
Mg 1.066 1.066 8.774
Mg 3.199 3.199 0.004
Zr 1.066 3.199 4.389
Zr 3.199 1.066 4.389
P 1.066 1.066 2.991
P 3.199 3.199 5.787
O 1.066 3.199 0.000
O 3.199 1.066 0.000
```

Output
The calculation puts the magnetization at 0.002 μB per atom. The electronic total energy comes out at -6.41 eV/atom. As for the polymorph energy (0 for the lowest one): 410 meV per atom. For the mass density, the calculation gives 3.38 g cm⁻³.

=====

Below is crystalline NiAs3P at its relaxed geometry, with properties calculated at the PBE level.

extended XYZ file:
```
5
Lattice="4.671 0.000 0.000 0.000 4.671 0.000 0.000 0.000 4.671" Properties=species:S:1:pos:R:3 pbc="T T T"
Ni 0.000 0.000 0.000
As 0.000 2.336 2.336
As 2.336 0.000 2.336
As 2.336 2.336 0.000
P 2.336 2.336 2.336
```

Output
The calculation puts the magnetization at 0.019 μB per atom. The electronic total energy comes out at -4.00 eV/atom. For the mass density, the calculation gives 5.12 g cm⁻³.

=====

Below is crystalline Dy2AlSiNi at its relaxed geometry, with properties calculated at the PBE level.

extended XYZ file:
```
5
Lattice="-2.037 4.337 2.789 2.037 -4.337 2.789 2.037 4.337 -2.789" Properties=species:S:1:pos:R:3 pbc="T T T"
Dy 0.000 1.785 0.000
Dy 0.000 6.890 0.000
Al 0.000 0.000 2.831
Si 2.037 0.000 1.211
Ni 0.000 4.337 1.573
```

Output
The calculation puts the magnetization at 0.002 μB per atom. The electronic total energy comes out at -5.42 eV/atom. For the mass density, the calculation gives 7.39 g cm⁻³.

=====

Below is crystalline CdGeO3 at its relaxed geometry, with properties calculated at the PBE level.

extended XYZ file:
```
80
Lattice="-6.226 6.226 6.150 6.226 -6.226 6.150 6.226 6.226 -6.150" Properties=species:S:1:pos:R:3 pbc="T T T"
Cd 0.000 0.000 0.000
Cd 6.226 -3.113 4.627
Cd 3.059 1.543 0.073
Cd 4.657 6.280 -3.148
Cd 4.657 0.054 3.148
Cd 6.226 3.113 1.552
Cd 3.167 -1.543 6.223
Cd -3.113 3.113 3.075
Cd 0.000 6.226 0.000
Cd 3.113 3.113 3.075
Cd 3.059 7.770 -0.073
Cd 0.000 3.113 4.597
Cd 1.570 6.173 3.001
Cd 1.570 -0.054 9.298
Cd 3.167 4.683 6.076
Cd 0.000 9.340 1.522
Ge 3.113 3.113 -3.075
Ge 3.113 -3.113 3.075
Ge 6.226 0.000 0.000
Ge 9.153 1.538 -0.113
Ge 6.226 3.113 -1.537
Ge 7.801 -0.186 2.961
Ge 1.575 -0.186 3.188
Ge 3.299 4.688 -0.113
Ge 0.000 3.113 1.537
Ge 0.000 0.000 6.150
Ge 6.226 3.113 4.612
Ge 2.927 1.538 6.263
Ge 4.652 6.413 2.961
Ge -1.575 6.413 3.188
Ge 0.000 3.113 7.687
Ge -2.927 4.688 6.263
O 4.934 -2.590 2.649
O 4.500 -0.327 0.761
O 4.934 3.637 -2.649
O 9.013 -1.387 2.314
O 3.722 -3.716 4.751
O 10.312 0.464 0.633
O 6.547 5.411 -4.018
O 5.703 1.821 -0.426
O 2.505 3.716 -1.399
O 6.829 0.608 1.676
O 0.833 2.062 0.380
O 2.786 -1.387 3.836
O 6.547 -0.815 4.018
O 2.649 0.973 2.442
O 8.524 2.793 0.944
O 6.750 4.405 -0.426
O 3.929 3.434 0.944
O 5.393 -2.062 6.529
O 2.649 7.199 -2.442
O -1.051 2.280 2.695
O 4.500 5.899 -0.761
O 0.603 0.608 4.474
O 5.175 2.280 3.454
O 4.086 0.464 5.516
O 2.140 5.762 0.633
O 1.051 3.946 2.695
O 5.623 5.618 1.676
O 1.727 0.327 6.910
O 7.278 3.946 3.454
O 3.577 -0.973 8.591
O 0.833 8.288 -0.380
O 2.298 2.793 5.206
O -0.523 1.821 6.575
O -2.298 3.434 5.206
O 3.577 5.254 3.708
O -0.321 7.042 2.131
O 3.440 7.613 2.314
O 5.393 4.165 5.770
O -0.603 5.618 4.474
O 3.722 2.510 7.548
O 0.523 4.405 6.575
O -0.321 0.815 10.168
O -4.086 5.762 5.516
O 2.505 9.943 1.399
O -2.786 7.613 3.836
O 1.292 2.590 8.799
O 1.727 6.553 5.389
O 1.292 8.816 3.500
```

Output
The electronic total energy comes out at -5.50 eV/atom. For the mass density, the calculation gives 6.49 g cm⁻³.

=====

> The lowest electronic total energy belongs to which entry?

Y4InCoC2